DFT (PBE-GGA) results for a relaxed Tb2Er3TmBi6 crystal.

Cell: 4.4554 8.9131 9.9616 Å, 102.86 102.92 90.00°
Positions (direct):
Bi  0.0011  0.7514  0.0022
Bi  0.3339  0.9194  0.6678
Tb  0.1663  0.3330  0.3327
Bi  0.3340  0.4149  0.6681
Tb  0.8337  0.6670  0.6673
Er  0.8326  0.1665  0.6653
Bi  0.9989  0.2486  0.9978
Bi  0.6661  0.0806  0.3322
Bi  0.6660  0.5851  0.3319
Er  0.5000  0.5000  0.0000
Er  0.1674  0.8335  0.3347
Tm  0.5000  0.0000  0.0000

Values from the calculation:
energy of formation from the pure elements: -0.829 eV/atom
N(E_F): 1.995 states/eV/cell
symmetry: C2/m (12)

***

DFT (PBE-GGA) results for a relaxed LuZn4Pd crystal.

Cell: 5.1589 5.1589 5.1589 Å, 60.00 60.00 60.00°
Positions (direct):
Zn  0.1231  0.6256  0.6256
Lu  0.2500  0.2500  0.2500
Zn  0.6256  0.1231  0.6256
Pd  0.0000  0.0000  0.0000
Zn  0.6256  0.6256  0.1231
Zn  0.6256  0.6256  0.6256

Values from the calculation:
energy of formation from the pure elements: -0.385 eV/atom
N(E_F): 3.866 states/eV/cell
symmetry: F-43m (216)

***

DFT (PBE-GGA) results for a relaxed PmGdTlGe crystal.

Cell: 5.3047 5.3047 5.3047 Å, 60.00 60.00 60.00°
Positions (direct):
Tl  0.0000  0.0000  0.0000
Pm  0.7500  0.7500  0.7500
Ge  0.5000  0.5000  0.5000
Gd  0.2500  0.2500  0.2500

Values from the calculation:
energy of formation from the pure elements: -0.457 eV/atom
N(E_F): 3.225 states/eV/cell
symmetry: F-43m (216)

***

no.,energy (eV/cell)
1,-60.660
2,-17.119
3,-27.643